First-principles (PBE-GGA) data for crystalline KAsPb at its relaxed geometry, as listed in Alexandria via LeMat-Bulk.

Computed properties:
energy relative to the elements	-0.1831	eV per atom
VASP energy	-3.335	eV/atom

Cell lengths 5.0056, 5.0056, 4.9568 Å; angles 90.00, 90.00, 120.00 degrees
Space group P-6m2 (No. 187)
Unique sites:
K 0.0000 0.0000 0.0000
As 0.3333 0.6667 0.5000
Pb 0.6667 0.3333 0.5000